Entry from Alexandria via LeMat-Bulk: an optimized crystal structure of LaSc2Be (PBE).

E_tot ... -39.987 eV for the cell shown
Total magnetic moment ... 0.00 μB/atom
DOS at the Fermi energy ... 11.76 states/eV per cell

Geometry as CIF:
```
data_LaSc2Be
_cell_length_a 4.436
_cell_length_b 4.436
_cell_length_c 9.474
_cell_angle_alpha 90.00
_cell_angle_beta 90.00
_cell_angle_gamma 90.00
_space_group_name_H-M_alt 'I 4/m m m'
_space_group_IT_number 139
_space_group_name_Hall '-I 4 2'
loop_
_atom_site_label
_atom_site_type_symbol
_atom_site_fract_x
_atom_site_fract_y
_atom_site_fract_z
_atom_site_occupancy
La1 La 0.000 0.000 0.000 1
Sc1 Sc 0.000 0.500 0.250 1
Be1 Be 0.000 0.000 0.500 1
```